! Hf2ScGaSe | Alexandria | PBE | relaxed; values from VASP
&SYSTEM
  ibrav = 0, nat = 5, ntyp = 4
/
ATOMIC_SPECIES
Hf 178.49 Hf.upf
Sc 44.96 Sc.upf
Ga 69.72 Ga.upf
Se 78.96 Se.upf
CELL_PARAMETERS angstrom
4.922 0.000 0.000
0.000 4.922 0.000
0.000 0.000 4.892
ATOMIC_POSITIONS angstrom
Hf 0.000 2.461 0.000
Hf 2.461 0.000 0.000
Sc 0.000 0.000 2.446
Ga 2.461 2.461 2.446
Se 0.000 0.000 0.000
! D(E_F) (states/eV/f.u.): 4.45
! Formation energy without anion corrections (meV per atom): 5.5